# UGaC2

UGaC2 after structural relaxation (PBE, the Alexandria database).

Structure (CIF):
```
data_UGaC2
_cell_length_a 3.698
_cell_length_b 3.698
_cell_length_c 6.029
_cell_angle_alpha 72.14
_cell_angle_beta 72.14
_cell_angle_gamma 60.00
_space_group_name_H-M_alt 'P 1'
_space_group_IT_number 1
_space_group_name_Hall 'P 1'
loop_
_atom_site_label
_atom_site_type_symbol
_atom_site_fract_x
_atom_site_fract_y
_atom_site_fract_z
_atom_site_occupancy
C1 C 0.888 0.888 0.336 1
U1 U 0.500 0.500 0.500 1
C2 C 0.112 0.112 0.664 1
Ga1 Ga 0.000 0.000 0.000 1
```

Values from the calculation:
- E_form: 0.41 eV per atom